First-principles (PBE) data for a geometry-optimized Ba2BeSiAu6 structure, as listed in the Alexandria database.

uncorrected formation energy	-4.81	eV/f.u.
energy	-0.275	Ry/atom
density of states at the Fermi level	2.759	states/eV/cell

a = 6.931 Å, b = 6.931 Å, c = 6.931 Å
α = 60.00°, β = 60.00°, γ = 60.00°
Positions (direct):
Ba  0.250  0.250  0.250
Ba  0.750  0.750  0.750
Be  0.000  0.000  0.000
Si  0.500  0.500  0.500
Au  0.241  0.241  0.759
Au  0.241  0.759  0.241
Au  0.241  0.759  0.759
Au  0.759  0.241  0.241
Au  0.759  0.241  0.759
Au  0.759  0.759  0.241